# 1
Below is an optimized crystal structure of Ac7Sn5Bi, with properties calculated at the PBE-GGA level.

Summary:
Space group: Imm2
Calculated formation energy (meV per atom): -506

a b c (Å): 9.106 9.106 9.106
angles (deg): 136.71 95.79 99.86
Element x y z (fractional)
Ac1 0.000 0.000 0.000
Ac2 0.325 0.650 0.675
Ac3 0.407 0.407 0.000
Ac4 0.457 0.120 0.337
Ac5 0.783 0.120 0.663
Ac6 0.865 0.365 0.500
Ac7 0.974 0.650 0.325
Sn1 0.136 0.148 0.501
Sn2 0.136 0.634 0.988
Sn3 0.378 0.878 0.500
Sn4 0.646 0.148 0.012
Sn5 0.646 0.634 0.499
Bi1 0.696 0.696 0.000

# 2
Below is an optimized crystal structure of SrAlAg2, with properties calculated at the PBE-GGA level.

Summary:
Space group: Pmmm
Calculated formation energy (meV per atom): -59

a b c (Å): 3.526 3.610 7.279
angles (deg): 90.00 90.00 90.00
Element x y z (fractional)
Sr1 0.000 0.000 0.000
Al1 0.000 0.000 0.500
Ag1 0.500 0.500 0.306
Ag2 0.500 0.500 0.694

# 3
Below is an optimized crystal structure of ScIrSeBr2, with properties calculated at the PBE-GGA level.

Summary:
Space group: P4/mmm
Raw formation energy (meV per atom): 93
Offset from the most stable computed form (kJ/mol of formula units): 0

a b c (Å): 4.995 4.995 5.046
angles (deg): 90.00 90.00 90.00
Element x y z (fractional)
Sc1 0.000 0.000 0.000
Ir1 0.500 0.500 0.500
Se1 0.500 0.500 0.000
Br1 0.000 0.500 0.500
Br2 0.500 0.000 0.500

# 4
Below is an optimized crystal structure of CsP2WSe8, with properties calculated at the PBE-GGA level.

Summary:
Space group: R-3
Raw formation energy (meV per atom): -232

a b c (Å): 11.150 11.150 11.150
angles (deg): 33.18 33.18 33.18
Element x y z (fractional)
Cs1 0.000 0.000 0.000
P1 0.232 0.232 0.232
P2 0.768 0.768 0.768
W1 0.500 0.500 0.500
Se1 0.135 0.438 0.795
Se2 0.205 0.865 0.562
Se3 0.300 0.300 0.300
Se4 0.438 0.795 0.135
Se5 0.562 0.205 0.865
Se6 0.700 0.700 0.700
Se7 0.795 0.135 0.438
Se8 0.865 0.562 0.205

# 5
Below is an optimized crystal structure of SrIn, with properties calculated at the PBE-GGA level.

Summary:
Space group: I-43m
Calculated formation energy (meV per atom): 24

a b c (Å): 8.620 8.620 8.620
angles (deg): 109.47 109.47 109.47
Element x y z (fractional)
Sr1 0.000 0.000 0.596
Sr2 0.000 0.596 0.000
Sr3 0.404 0.404 0.404
Sr4 0.596 0.000 0.000
In1 0.000 0.000 0.220
In2 0.000 0.220 0.000
In3 0.220 0.000 0.000
In4 0.780 0.780 0.780

# 6
Below is an optimized crystal structure of Nb3CN2, with properties calculated at the PBE-GGA level.

Summary:
Space group: C2/c
Raw formation energy (meV per atom): -779

a b c (Å): 5.489 5.489 5.434
angles (deg): 99.53 99.53 119.63
Element x y z (fractional)
Nb1 0.000 0.500 0.000
Nb2 0.153 0.312 0.488
Nb3 0.312 0.153 0.988
Nb4 0.500 0.000 0.500
Nb5 0.688 0.847 0.012
Nb6 0.847 0.688 0.512
C1 0.089 0.911 0.250
C2 0.911 0.089 0.750
N1 0.256 0.744 0.750
N2 0.420 0.580 0.250
N3 0.580 0.420 0.750
N4 0.744 0.256 0.250